Entry 1:
Entry from Alexandria: a relaxed ScTaSe2N crystal (PBE-GGA).

Computed properties:
The symmetry is P4/mmm (123). The calculation puts the total energy at -7.21 eV per atom. The density of states at the Fermi level comes out at 0.40 states/eV per atom. As for the uncorrected formation energy: -2.561 eV/f.u. The total magnetic moment is 0.4 Bohr magnetons per cell.

Cell and atoms, written as POSCAR:
```
ScTaSe2N
1.0
5.140 0.000 0.000
0.000 5.140 0.000
0.000 0.000 3.894
Sc Ta Se N
1 1 2 1
Direct
0.000 0.000 0.000 Sc
0.500 0.500 0.500 Ta
0.000 0.500 0.500 Se
0.500 0.000 0.500 Se
0.500 0.500 0.000 N
```

Entry 2:
Entry from Alexandria: a relaxed Tl3Pb5 crystal (PBE-GGA).

Computed properties:
The symmetry is Cmmm (65). The formation energy comes out at 1 kJ/mol of formula units. The calculation puts the total energy at -3.20 eV per atom. The density of states at the Fermi level comes out at 0.53 states/eV per atom. The total magnetic moment is 0.0 Bohr magnetons per cell.

Cell and atoms, written as POSCAR:
```
Tl3Pb5
1.0
5.018 -5.068 0.000
5.018 5.068 0.000
0.000 0.000 4.895
Tl Pb
3 5
Direct
0.000 0.000 0.000 Tl
0.249 0.751 0.500 Tl
0.751 0.249 0.500 Tl
0.000 0.500 0.000 Pb
0.251 0.251 0.500 Pb
0.500 0.000 0.000 Pb
0.500 0.500 0.000 Pb
0.749 0.749 0.500 Pb
```

Entry 3:
Entry from Alexandria: a relaxed Mg2IrOs crystal (PBE-GGA).

Computed properties:
The symmetry is I-42d (122). The formation energy comes out at 230 kJ/mol of formula units. The calculation puts the total energy at -5.22 eV per atom. The density of states at the Fermi level comes out at 0.97 states/eV per atom. The total magnetic moment is 0.0 Bohr magnetons per cell.

Cell and atoms, written as POSCAR:
```
Mg2IrOs
1.0
-3.649 3.649 2.579
3.649 -3.649 2.579
3.649 3.649 -2.579
Mg Ir Os
4 2 2
Direct
0.116 0.625 0.991 Mg
0.375 0.366 0.491 Mg
0.634 0.125 0.009 Mg
0.875 0.884 0.509 Mg
0.000 0.000 0.000 Ir
0.750 0.250 0.500 Ir
0.250 0.750 0.500 Os
0.500 0.500 0.000 Os
```

Entry 4:
Entry from Alexandria: a relaxed Zr2SiNi crystal (PBE-GGA).

Computed properties:
The symmetry is P4mm (99). The calculation puts the total energy at -7.36 eV per atom. The density of states at the Fermi level comes out at 0.55 states/eV per atom. As for the uncorrected formation energy: -1.138 eV/f.u. The total magnetic moment is 0.0 Bohr magnetons per cell.

Cell and atoms, written as POSCAR:
```
Zr2SiNi
1.0
3.660 0.000 0.000
0.000 3.660 0.000
0.000 0.000 5.503
Zr Si Ni
2 1 1
Direct
0.000 0.000 0.000 Zr
0.500 0.500 0.350 Zr
0.500 0.500 0.854 Si
0.000 0.000 0.527 Ni
```